(1)
A relaxed KAgF2 crystal, computed with GGA-PBE.

Cell: 4.078 4.078 8.637 Å, 90.00 90.00 90.00°
Atoms (fractional coordinates):
K 0.250 0.250 0.172
K 0.750 0.750 0.828
Ag 0.250 0.250 0.631
Ag 0.750 0.750 0.369
F 0.250 0.250 0.887
F 0.250 0.750 0.500
F 0.750 0.250 0.500
F 0.750 0.750 0.113

Values from the calculation:
- SG = No. 129
- E_tot (eV per atom) = -3.650
- relative energy among the computed polymorphs (meV per atom) = 107



(2)
A relaxed HoTmNi2Sn crystal, computed with GGA-PBE.

Cell: 3.610 7.190 7.190 Å, 32.14 90.00 90.00°
Atoms (fractional coordinates):
Ho 0.000 0.000 0.000
Tm 0.000 0.274 0.274
Ni 0.500 0.439 0.439
Ni 0.500 0.835 0.835
Sn 0.500 0.637 0.637

Values from the calculation:
- SG = No. 38
- E_tot (eV per atom) = -5.467



(3)
A relaxed Sn2Pd2Au crystal, computed with GGA-PBE.

Cell: 7.129 7.129 7.129 Å, 147.62 147.62 46.45°
Atoms (fractional coordinates):
Sn 0.109 0.109 0.000
Sn 0.891 0.891 0.000
Pd 0.250 0.750 0.500
Pd 0.750 0.250 0.500
Au 0.500 0.500 0.000

Values from the calculation:
- SG = No. 139
- E_tot (eV per atom) = -4.496
- relative energy among the computed polymorphs (meV per atom) = 0



(4)
A relaxed Er2TmAl3AgPt2 crystal, computed with GGA-PBE.

Cell: 3.871 7.308 7.308 Å, 119.93 90.00 90.00°
Atoms (fractional coordinates):
Er 0.000 0.207 0.793
Er 0.000 0.793 0.207
Tm 0.000 0.621 0.621
Al 0.500 0.207 0.467
Al 0.500 0.467 0.207
Al 0.500 0.947 0.947
Ag 0.000 0.208 0.208
Pt 0.500 0.541 0.873
Pt 0.500 0.873 0.541

Values from the calculation:
- SG = No. 38
- E_tot (eV per atom) = -5.308